Record 1
Density functional theory data (GGA-PBE) for Ti6P2C after structural relaxation.

Cell: 3.292 5.208 7.839 Å, 89.45 90.00 108.43°
Positions (direct):
Ti 0.558 0.117 0.242
P 0.256 0.512 0.247
Ti 0.865 0.730 0.452
Ti 0.442 0.883 0.758
C 0.500 0.000 0.500
Ti 0.135 0.270 0.548
Ti 0.861 0.722 0.047
Ti 0.139 0.278 0.953
P 0.744 0.488 0.753

Values from the calculation:
- Density: 4.7 g/cm³
- Energy: -75.83 eV/f.u.
- DOS(E_F): 7.34 states/eV/cell
- Energy relative to the elements: -0.93 eV/atom

Record 2
Density functional theory data (GGA-PBE) for Ti4PC2 after structural relaxation.

Cell: 3.197 5.354 10.698 Å, 90.00 90.00 107.37°
Positions (direct):
Ti 0.765 0.529 0.109
Ti 0.765 0.529 0.391
C 0.135 0.270 0.438
P 0.391 0.782 0.250
C 0.865 0.730 0.938
Ti 0.235 0.471 0.891
P 0.609 0.218 0.750
Ti 0.500 0.000 0.500
Ti 0.930 0.861 0.750
Ti 0.235 0.471 0.609
C 0.865 0.730 0.562
Ti 0.070 0.139 0.250
C 0.135 0.270 0.062
Ti 0.500 0.000 0.000

Values from the calculation:
- Density: 4.7 g/cm³
- Energy: -62.11 eV/f.u.
- Offset from the most stable computed form: 0 meV/atom
- DOS(E_F): 5.95 states/eV/cell
- Energy relative to the elements: -0.95 eV/atom

What did the second record say?
Density functional theory data (GGA-PBE) for Ti4PC2 after structural relaxation.

Cell: 3.197 5.354 10.698 Å, 90.00 90.00 107.37°
Positions (direct):
Ti 0.765 0.529 0.109
Ti 0.765 0.529 0.391
C 0.135 0.270 0.438
P 0.391 0.782 0.250
C 0.865 0.730 0.938
Ti 0.235 0.471 0.891
P 0.609 0.218 0.750
Ti 0.500 0.000 0.500
Ti 0.930 0.861 0.750
Ti 0.235 0.471 0.609
C 0.865 0.730 0.562
Ti 0.070 0.139 0.250
C 0.135 0.270 0.062
Ti 0.500 0.000 0.000

Values from the calculation:
- Density: 4.7 g/cm³
- Energy: -62.11 eV/f.u.
- Offset from the most stable computed form: 0 meV/atom
- DOS(E_F): 5.95 states/eV/cell
- Energy relative to the elements: -0.95 eV/atom